# 1
First-principles (PBE-GGA) data for an optimized crystal structure of NiSn, as listed in OQMD via LeMat-Bulk.

Cell lengths 5.2251, 24.9146, 4.1247 Å; angles 90.00, 90.00, 90.00 degrees
Space group Pbam (No. 55)
Unique sites:
Ni1 0.0000 0.0000 0.0000 [2 per cell]
Ni2 0.0000 0.5000 0.0000 [2 per cell]
Ni3 0.0018 0.1419 0.5000 [4 per cell]
Ni4 0.2141 0.7553 0.5000 [4 per cell]
Ni5 0.2190 0.6062 0.0000 [4 per cell]
Sn1 0.0003 0.3394 0.5000 [4 per cell]
Sn2 0.0522 0.2106 0.0000 [4 per cell]
Sn3 0.2244 0.9099 0.0000 [4 per cell]
Sn4 0.2440 0.0388 0.5000 [4 per cell]

Results
Its crystal system is orthorhombic. Its energy is -5.0377 eV per atom.

# 2
First-principles (PBE-GGA) data for an optimized crystal structure of SmZnPbSe3, as listed in OQMD via LeMat-Bulk.

Cell lengths 4.2181, 13.7824, 10.8686 Å; angles 90.00, 90.00, 90.00 degrees
Space group Cmcm (No. 63)
Unique sites:
Sm1 0.0000 0.0000 0.0000 [4 per cell]
Zn1 0.0000 0.4728 0.2500 [4 per cell]
Pb1 0.0000 0.2213 0.7500 [4 per cell]
Se1 0.0000 0.0848 0.2500 [4 per cell]
Se2 0.0000 0.3595 0.0626 [8 per cell]

Results
Its crystal system is orthorhombic. Its energy is -4.2944 eV per atom.

# 3
First-principles (PBE-GGA) data for an optimized crystal structure of YNbZn, as listed in OQMD via LeMat-Bulk.

Cell lengths 6.7671, 6.7671, 6.7671 Å; angles 90.00, 90.00, 90.00 degrees
Space group F-43m (No. 216)
Unique sites:
Y1 0.0000 0.0000 0.0000 [4 per cell]
Nb1 0.2500 0.2500 0.7500 [4 per cell]
Zn1 0.2500 0.2500 0.2500 [4 per cell]

Results
Its crystal system is cubic. The calculation puts the formation energy at 1.12 eV/atom.